Compound: CsCr5S8
Source: Alexandria
Functional: SCAN
Structure: PBEsol geometry

POSCAR file:
```
CsCr5S8
1.0
9.020 -1.724 0.000
9.020 1.724 0.000
-1.739 0.000 8.463
Cs Cr S
1 5 8
Direct
0.000 0.000 0.000
0.000 0.000 0.500
0.297 0.297 0.163
0.338 0.338 0.511
0.662 0.662 0.489
0.703 0.703 0.837
0.096 0.096 0.351
0.178 0.178 0.998
0.238 0.238 0.658
0.427 0.427 0.342
0.573 0.573 0.658
0.762 0.762 0.342
0.822 0.822 0.002
0.904 0.904 0.649
```

Values from the calculation:
As for the symmetry: C2/m. The calculation puts the total energy at -15.935 eV/atom. The uncorrected formation energy comes out at -1166 meV per atom.